Sm5Er2Bi5: relaxed, PBE-GGA. Values from VASP.

Results
formation energy: -0.6393 eV/atom
VASP energy: -59.8 eV/f.u.
theoretical density: 8.850 g/cm3

Cell and atoms, written as Quantum ESPRESSO input:
```
&SYSTEM
  ibrav = 0, nat = 12, ntyp = 3
/
ATOMIC_SPECIES
Sm 150.36 Sm.upf
Er 167.26 Er.upf
Bi 208.98 Bi.upf
CELL_PARAMETERS angstrom
4.4965 0.0000 0.0000
-2.2483 7.4093 -0.4063
0.0000 -4.2079 12.2339
ATOMIC_POSITIONS angstrom
Sm 2.2483 -2.1040 6.1170
Sm 2.2483 2.2717 0.2738
Sm 2.2483 1.8010 3.9808
Sm 0.0000 1.4004 7.8468
Sm 0.0000 0.9296 11.5538
Er 0.0000 -2.5769 9.6455
Er 2.2483 5.7783 2.1821
Bi 0.0000 -0.0791 5.1425
Bi 2.2483 -0.4537 9.4160
Bi 0.0000 3.6551 2.4116
Bi 2.2483 3.2805 6.6851
Bi 0.0000 0.0000 0.0000
```

---

Ac2SnP2N6: relaxed, PBE-GGA. Values from VASP.

Results
formation energy from raw total energies: -0.504 eV per atom
VASP energy: -78.5 eV/f.u.
theoretical density: 7.116 g/cm3

Cell and atoms, written as Quantum ESPRESSO input:
```
&SYSTEM
  ibrav = 0, nat = 11, ntyp = 4
/
ATOMIC_SPECIES
Ac 227.00 Ac.upf
Sn 118.71 Sn.upf
P 30.97 P.upf
N 14.01 N.upf
CELL_PARAMETERS angstrom
-0.3411 2.9908 -4.7476
-1.3556 -5.4556 -0.0112
-5.8072 1.4403 1.3246
ATOMIC_POSITIONS angstrom
Ac -4.5069 1.1246 -2.2958
Ac -2.9970 -2.1492 -1.1385
Sn 0.0000 0.0000 0.0000
P -5.9497 -1.4168 -0.4650
P -1.5542 0.3923 -2.9693
N -4.9761 -0.3931 0.3609
N -5.7443 -1.2461 -2.0796
N -5.6973 -2.9663 -0.0029
N -2.5278 -0.6314 -3.7952
N -1.7596 0.2216 -1.3547
N -1.8066 1.9418 -3.4314
```

---

Sc2PtAu: relaxed, PBE-GGA. Values from VASP.

Results
formation energy: -0.2071 eV/atom
VASP energy: -22.8 eV/f.u.
theoretical density: 9.912 g/cm3

Cell and atoms, written as Quantum ESPRESSO input:
```
&SYSTEM
  ibrav = 0, nat = 4, ntyp = 3
/
ATOMIC_SPECIES
Sc 44.96 Sc.upf
Au 196.97 Au.upf
Pt 195.08 Pt.upf
CELL_PARAMETERS angstrom
1.7904 0.0000 9.6958
-0.8952 1.5505 9.6958
-0.8952 -1.5505 9.6958
ATOMIC_POSITIONS angstrom
Sc 0.0000 0.0000 26.5566
Sc 0.0000 0.0000 2.5307
Au 0.0000 0.0000 14.5436
Pt 0.0000 0.0000 0.0000
```

---

CaTa2SiNi: relaxed, PBE-GGA. Values from VASP.

Results
formation energy from raw total energies: 0.644 eV per atom
VASP energy: -33.7 eV/f.u.
theoretical density: 8.193 g/cm3

Cell and atoms, written as Quantum ESPRESSO input:
```
&SYSTEM
  ibrav = 0, nat = 5, ntyp = 4
/
ATOMIC_SPECIES
Ni 58.69 Ni.upf
Ca 40.08 Ca.upf
Si 28.09 Si.upf
Ta 180.95 Ta.upf
CELL_PARAMETERS angstrom
4.7549 0.0000 0.0000
0.0000 4.3816 0.0000
0.0000 0.0000 4.7549
ATOMIC_POSITIONS angstrom
Ni 0.0000 0.0000 0.0000
Ca 2.3775 2.1908 2.3775
Si 0.0000 2.1908 0.0000
Ta 0.0000 0.0000 2.3775
Ta 2.3775 0.0000 0.0000
```

---

LiYC: relaxed, PBE-GGA. Values from VASP.

Results
formation energy: 0.5530 eV/atom
VASP energy: -15.9 eV/f.u.
theoretical density: 2.931 g/cm3
energy above the lowest structure with this stoichiometry: 688 meV/atom

Cell and atoms, written as Quantum ESPRESSO input:
```
&SYSTEM
  ibrav = 0, nat = 3, ntyp = 3
/
ATOMIC_SPECIES
Y 88.91 Y.upf
C 12.01 C.upf
Li 6.94 Li.upf
CELL_PARAMETERS angstrom
3.4893 -2.0145 0.0000
0.0000 4.0291 0.0000
0.0000 0.0000 4.3467
ATOMIC_POSITIONS angstrom
Y 0.0000 0.0000 0.0000
C 1.1631 2.0145 0.0000
Li 2.3262 0.0000 2.1734
```

---

Pm2SbO: relaxed, PBE-GGA. Values from VASP.

Results
formation energy from raw total energies: -1.768 eV per atom
VASP energy: -25.7 eV/f.u.
theoretical density: 6.568 g/cm3
energy above the lowest structure with this stoichiometry: 259 meV/atom

Cell and atoms, written as Quantum ESPRESSO input:
```
&SYSTEM
  ibrav = 0, nat = 16, ntyp = 3
/
ATOMIC_SPECIES
Pm 145.00 Pm.upf
Sb 121.76 Sb.upf
O 16.00 O.upf
CELL_PARAMETERS angstrom
6.3357 0.0000 0.0000
0.0000 6.2920 -0.0443
0.0000 -1.0032 10.8594
ATOMIC_POSITIONS angstrom
Pm 4.9832 5.3337 9.7711
Pm 1.3526 -0.0450 1.0440
Pm 4.9832 2.5994 6.4515
Pm 1.3526 2.6893 4.3636
Pm 5.0658 2.6768 1.6535
Pm 1.2699 2.6119 9.1616
Pm 5.0658 -0.0324 3.7541
Pm 1.2699 5.3212 7.0610
Sb 1.8428 5.8906 4.0438
Sb 4.4930 -0.6019 6.7712
Sb 1.8428 3.0457 1.3194
Sb 4.4930 2.2430 9.4957
O 0.8948 3.0881 6.7183
O 5.4410 2.2006 4.0968
O 0.8948 4.8450 9.5044
O 5.4410 0.4438 1.3107
```

---

Sc2OF: relaxed, PBE-GGA. Values from VASP.

Results
formation energy from raw total energies: -1.895 eV per atom
VASP energy: -27.1 eV/f.u.
theoretical density: 4.590 g/cm3
energy above the lowest structure with this stoichiometry: 555 meV/atom

Cell and atoms, written as Quantum ESPRESSO input:
```
&SYSTEM
  ibrav = 0, nat = 4, ntyp = 3
/
ATOMIC_SPECIES
Sc 44.96 Sc.upf
O 16.00 O.upf
F 19.00 F.upf
CELL_PARAMETERS angstrom
-1.5870 -0.3520 3.6527
-3.5304 1.6892 0.8170
-3.2287 -2.2895 0.5647
ATOMIC_POSITIONS angstrom
Sc -2.0865 -0.2381 1.2586
Sc -6.2596 -0.7142 3.7758
O 0.0000 0.0000 0.0000
F -4.1731 -0.4761 2.5172
```

---

Nd2Mg2Zn: relaxed, PBE-GGA. Values from VASP.

Results
formation energy: -0.0610 eV/atom
VASP energy: -14.3 eV/f.u.
theoretical density: 5.090 g/cm3

Cell and atoms, written as Quantum ESPRESSO input:
```
&SYSTEM
  ibrav = 0, nat = 5, ntyp = 3
/
ATOMIC_SPECIES
Nd 144.24 Nd.upf
Mg 24.30 Mg.upf
Zn 65.41 Zn.upf
CELL_PARAMETERS angstrom
-1.2197 0.7087 -3.0649
2.8558 -3.3199 -1.9041
-4.4024 -7.2629 0.0727
ATOMIC_POSITIONS angstrom
Nd -0.3301 -2.4089 -2.2827
Nd -2.4363 -7.4652 -2.6136
Mg -2.0655 -5.0171 -0.3381
Mg 0.5188 -5.5657 -1.4934
Zn 0.0000 0.0000 0.0000
```

---

Which of these has the lowest VASP energy? Ac2SnP2N6

---

Number 6 is which compound? Pm2SbO

---

The lowest theoretical density belongs to which entry? LiYC